# NaCu3B

A relaxed NaCu3B crystal (GGA-PBE, Alexandria).

Calculated formation energy = 2.050 eV/atom
Density = 3.974 g/cm3
Space-group type = No. 221

a = 4.543 Å, b = 4.543 Å, c = 4.543 Å
α = 90.00°, β = 90.00°, γ = 90.00°
Sites, in units of the cell vectors:
Na (0.000, 0.000, 0.000)
B (0.500, 0.500, 0.500)
Cu (0.000, 0.500, 0.000)
Cu (0.000, 0.000, 0.500)
Cu (0.500, 0.000, 0.000)

# HoCoH

A relaxed HoCoH crystal (GGA-PBE, Alexandria).

Distance to the lowest polymorph of the same formula = 1.24 eV/f.u.
Density = 9.278 g/cm3
Space-group type = No. 187

a = 3.562 Å, b = 3.612 Å, c = 3.612 Å
α = 120.00°, β = 90.00°, γ = 90.00°
Sites, in units of the cell vectors:
H (0.167, 0.667, 0.333)
Co (0.167, 0.000, 0.000)
Ho (0.666, 0.333, 0.667)

# NbPd6Pt8

A relaxed NbPd6Pt8 crystal (GGA-PBE, Alexandria).

Calculated formation energy = -0.027 eV/atom
Density = 15.643 g/cm3
Space-group type = No. 148

a = 6.914 Å, b = 6.914 Å, c = 7.105 Å
α = 60.88°, β = 60.88°, γ = 60.00°
Sites, in units of the cell vectors:
Nb (0.000, 0.000, 0.000)
Pd (0.074, 0.538, 0.144)
Pd (0.756, 0.926, 0.856)
Pd (0.462, 0.756, 0.856)
Pd (0.538, 0.244, 0.144)
Pd (0.244, 0.074, 0.144)
Pd (0.926, 0.462, 0.856)
Pt (0.694, 0.393, 0.683)
Pt (0.770, 0.306, 0.317)
Pt (0.607, 0.770, 0.317)
Pt (0.156, 0.156, 0.531)
Pt (0.844, 0.844, 0.469)
Pt (0.393, 0.230, 0.683)
Pt (0.230, 0.694, 0.683)
Pt (0.306, 0.607, 0.317)

# Nd3MgIn12

A relaxed Nd3MgIn12 crystal (GGA-PBE, Alexandria).

Calculated formation energy = -0.350 eV/atom
Density = 7.349 g/cm3
Space-group type = No. 123

a = 4.709 Å, b = 4.709 Å, c = 18.695 Å
α = 90.00°, β = 90.00°, γ = 90.00°
Sites, in units of the cell vectors:
Nd (0.000, 0.000, 0.247)
Nd (0.000, 0.000, 0.500)
Nd (0.000, 0.000, 0.753)
Mg (0.000, 0.000, 0.000)
In (0.500, 0.500, 0.000)
In (0.500, 0.500, 0.251)
In (0.500, 0.500, 0.500)
In (0.500, 0.500, 0.749)
In (0.500, 0.000, 0.117)
In (0.500, 0.000, 0.373)
In (0.500, 0.000, 0.627)
In (0.500, 0.000, 0.883)
In (0.000, 0.500, 0.117)
In (0.000, 0.500, 0.373)
In (0.000, 0.500, 0.627)
In (0.000, 0.500, 0.883)

How do the records compare in electronic total energy? In the order shown, they have -0.1475; -0.3666; -0.4408; -0.2497 Ry/atom.